Entry 1:
First-principles (PBE) data for a relaxed structure of BeAgMo2, as listed in the Alexandria database.

abc: 4.761 4.761 2.636
angles: 90.00 90.00 90.00
Element x y z (fractional)
Be  0.000  0.000  0.000
Ag  0.500  0.500  0.000
Mo  0.000  0.500  0.500
Mo  0.500  0.000  0.500



Entry 2:
First-principles (PBE) data for a relaxed structure of MgInAs3, as listed in the Alexandria database.

abc: 5.042 5.042 5.042
angles: 90.00 90.00 90.00
Element x y z (fractional)
Mg  0.000  0.000  0.000
In  0.500  0.500  0.500
As  0.000  0.000  0.500
As  0.000  0.500  0.000
As  0.500  0.000  0.000

Values from the calculation:
The calculation puts the relative energy among the computed polymorphs at 0.000 eV/atom.



Entry 3:
First-principles (PBE) data for a relaxed structure of LiTa2Ge, as listed in the Alexandria database.

abc: 7.081 7.081 5.446
angles: 90.00 90.00 90.00
Element x y z (fractional)
Li  0.000  0.000  0.000
Li  0.000  0.500  0.250
Li  0.500  0.000  0.750
Li  0.500  0.500  0.500
Ta  0.247  0.250  0.625
Ta  0.250  0.747  0.875
Ta  0.250  0.753  0.375
Ta  0.253  0.250  0.125
Ta  0.747  0.750  0.125
Ta  0.750  0.247  0.375
Ta  0.750  0.253  0.875
Ta  0.753  0.750  0.625
Ge  0.000  0.000  0.500
Ge  0.000  0.500  0.750
Ge  0.500  0.000  0.250
Ge  0.500  0.500  0.000



Entry 4:
First-principles (PBE) data for a relaxed structure of ScCoRuW, as listed in the Alexandria database.

abc: 6.228 6.228 6.228
angles: 90.00 90.00 90.00
Element x y z (fractional)
Sc  0.000  0.000  0.000
Sc  0.000  0.500  0.500
Sc  0.500  0.000  0.500
Sc  0.500  0.500  0.000
Co  0.250  0.250  0.750
Co  0.250  0.750  0.250
Co  0.750  0.250  0.250
Co  0.750  0.750  0.750
Ru  0.250  0.250  0.250
Ru  0.250  0.750  0.750
Ru  0.750  0.250  0.750
Ru  0.750  0.750  0.250
W  0.000  0.000  0.500
W  0.000  0.500  0.000
W  0.500  0.000  0.000
W  0.500  0.500  0.500



| no. | energy of formation from the pure elements (eV per atom) | M_tot (μB per cell) |
| --- | --- | --- |
| 1 | 0.646 | 0.00 |
| 2 | 0.543 | 0.00 |
| 3 | 0.459 | 0.00 |
| 4 | -0.135 | 7.08 |